Compound: Ac3GeBr3
Source: Alexandria via LeMat-Bulk
Functional: PBE
Structure: optimized geometry

Cell: 11.089 11.089 11.089 Å, 109.47 109.47 109.47°
Element x y z (fractional)
Ac: 0.981 0.490 0.240
Ac: 0.510 0.019 0.260
Ac: 0.250 0.010 0.490
Ac: 0.990 0.750 0.010
Ac: 0.990 0.240 0.481
Ac: 0.760 0.010 0.019
Ac: 0.740 0.481 0.490
Ac: 0.760 0.750 0.240
Ac: 0.519 0.260 0.010
Ac: 0.250 0.240 0.260
Ac: 0.740 0.260 0.750
Ac: 0.510 0.490 0.750
Ge: 0.750 0.500 0.000
Ge: 0.500 0.250 0.500
Ge: 0.750 0.250 0.250
Ge: 0.000 0.000 0.250
Br: 0.247 0.997 0.994
Br: 0.750 0.753 0.747
Br: 0.494 0.747 0.997
Br: 0.003 0.250 0.997
Br: 0.253 0.747 0.250
Br: 0.497 0.503 0.250
Br: 0.247 0.250 0.753
Br: 0.253 0.506 0.503
Br: 0.750 0.997 0.503
Br: 0.006 0.503 0.753
Br: 0.003 0.753 0.506
Br: 0.497 0.994 0.747

Computed properties:
Its crystal system is cubic. Its density of states at the Fermi level is 2.71 states/eV/f.u. Its total energy is -4.5887 eV per atom. For the uncorrected formation energy, the calculation gives -1.45 eV per atom.

=====

Compound: CaRe2Ir
Source: Alexandria via LeMat-Bulk
Functional: PBE
Structure: optimized geometry

Cell: 5.273 5.414 2.729 Å, 81.75 77.12 115.52°
Element x y z (fractional)
Re: 0.000 0.000 0.000
Re: 0.500 0.000 0.500
Ca: 0.000 0.500 0.500
Ir: 0.500 0.500 0.000

Computed properties:
Its crystal system is monoclinic. Its density of states at the Fermi level is 4.36 states/eV/f.u. Its total energy is -8.4358 eV per atom.